! GGA-PBEsol HgSbAu2, optimized geometry; values from VASP
&SYSTEM
  ibrav = 0, nat = 4, ntyp = 3
/
ATOMIC_SPECIES
Au 196.97 Au.upf
Hg 200.59 Hg.upf
Sb 121.76 Sb.upf
CELL_PARAMETERS angstrom
3.877 0.000 0.000
1.939 3.358 0.000
1.939 1.119 6.877
ATOMIC_POSITIONS crystal
Au 0.003 0.003 0.992
Au 0.745 0.745 0.766
Hg 0.493 0.493 0.522
Sb 0.260 0.260 0.220
! ΔE_f (raw) in eV/atom: 0.078
! ΔE to the lowest computed polymorph in eV per atom: 0.0453
! Calculated total energy in Ry per atom: -0.2326